Compound: AlS2Br
Source: Alexandria via LeMat-Bulk
Functional: PBE
Structure: optimized geometry

Properties
Its symmetry is R-3m, No. 166. The density of states at the Fermi level is 0.00 states/eV/f.u. The formation energy without anion corrections is -0.572 eV/atom. The value obtained for the distance to the lowest polymorph of the same formula is 0.0000 eV/atom.

abc: 7.7094 7.7094 7.7094
angles: 27.41 27.41 27.41
With the nearest neighbours (Å) after each atom.
Positions (direct):
S: 0.8890 0.8890 0.8890  3 Al 2.45, 1 Br 2.47
S: 0.1110 0.1110 0.1110  3 Al 2.45, 1 Br 2.47
Al: 0.5000 0.5000 0.5000  6 S 2.45
Br: 0.0000 0.0000 0.0000  2 S 2.47

=====

Compound: AlS4Br
Source: Alexandria via LeMat-Bulk
Functional: PBE
Structure: optimized geometry

Properties
Its symmetry is C2/c, No. 15. The density of states at the Fermi level is 3.99 states/eV/f.u. The formation energy without anion corrections is -0.243 eV/atom.

abc: 5.8994 5.2721 15.3351
angles: 80.10 83.06 45.35
With the nearest neighbours (Å) after each atom.
Positions (direct):
Al: 0.7500 0.8762 0.2477  4 S 2.39, 2 Br 2.64
Al: 0.2500 0.1238 0.7523  4 S 2.39, 2 Br 2.64
S: 0.0948 0.5802 0.3725  1 S 2.00
S: 0.0948 0.7050 0.1228  1 S 2.00
S: 0.5948 0.9527 0.6275  1 S 2.00
S: 0.5948 0.8278 0.8772  1 S 2.00
S: 0.9052 0.4198 0.6275  1 S 2.00
S: 0.4052 0.0473 0.3725  1 S 2.00
S: 0.9052 0.2950 0.8772  1 S 2.00
S: 0.4052 0.1722 0.1228  1 S 2.00
Br: 0.7500 0.3762 0.2477  2 Al 2.64
Br: 0.2500 0.6238 0.7523  2 Al 2.64